Density functional theory data (PBE) for a relaxed structure of CsYGe.

a b c (Å): 13.6487 4.1778 8.8253
angles (deg): 90.00 97.94 90.00
Positions (direct):
Cs 0.0000 0.0000 0.0000
Cs 0.2235 0.5000 0.7731
Cs 0.5000 0.5000 0.0000
Cs 0.7235 0.0000 0.7731
Y 0.2207 0.5000 0.3164
Y 0.4546 0.0000 0.4095
Y 0.7207 0.0000 0.3164
Y 0.9546 0.5000 0.4095
Ge 0.0995 0.0000 0.4390
Ge 0.3058 0.0000 0.1450
Ge 0.5995 0.5000 0.4390
Ge 0.8058 0.5000 0.1450

E in eV/atom: -4.105
D(E_F) in states/eV/cell: 7.37
Energy of formation from the pure elements in eV per atom: -0.13
Total magnetic moment in μB/atom: 0.045
Polymorph energy (0 for the lowest one) in meV per atom: 245.5

***

Density functional theory data (PBE) for a relaxed structure of CsYGe2.

a b c (Å): 5.7991 5.7991 19.5781
angles (deg): 90.00 90.00 90.00
Positions (direct):
Cs 0.0000 0.0000 0.0000
Cs 0.0000 0.5000 0.2500
Cs 0.5000 0.0000 0.7500
Cs 0.5000 0.5000 0.5000
Y 0.0000 0.0000 0.5000
Y 0.0000 0.5000 0.7500
Y 0.5000 0.0000 0.2500
Y 0.5000 0.5000 0.0000
Ge 0.0269 0.2500 0.6250
Ge 0.2500 0.5269 0.8750
Ge 0.2500 0.9731 0.3750
Ge 0.4731 0.2500 0.1250
Ge 0.5269 0.7500 0.1250
Ge 0.7500 0.0269 0.3750
Ge 0.7500 0.4731 0.8750
Ge 0.9731 0.7500 0.6250

E in eV/atom: -4.035
D(E_F) in states/eV/cell: 13.16
Energy of formation from the pure elements in eV per atom: 0.10
Total magnetic moment in μB/atom: 0.000
Polymorph energy (0 for the lowest one) in meV per atom: 0.0

***

Density functional theory data (PBE) for a relaxed structure of Cs3Zn2Ge4.

a b c (Å): 4.2758 7.4390 10.3504
angles (deg): 102.98 90.00 106.69
Positions (direct):
Cs 0.0000 0.0000 0.0000
Cs 0.3906 0.7818 0.6028
Cs 0.6094 0.2182 0.3972
Zn 0.3273 0.6560 0.1721
Zn 0.6727 0.3440 0.8279
Ge 0.1330 0.2650 0.7004
Ge 0.2810 0.5607 0.9072
Ge 0.7190 0.4393 0.0928
Ge 0.8670 0.7350 0.2996

E in eV/atom: -2.680
D(E_F) in states/eV/cell: 4.28
Energy of formation from the pure elements in eV per atom: -0.06
Total magnetic moment in μB/atom: 0.000

***

Density functional theory data (PBE) for a relaxed structure of CsZn3Ge.

a b c (Å): 5.3159 5.3159 5.3159
angles (deg): 90.00 90.00 90.00
Positions (direct):
Cs 0.0000 0.0000 0.0000
Zn 0.0000 0.5000 0.5000
Zn 0.5000 0.0000 0.5000
Zn 0.5000 0.5000 0.0000
Ge 0.5000 0.5000 0.5000

E in eV/atom: -1.566
D(E_F) in states/eV/cell: 7.10
Energy of formation from the pure elements in eV per atom: 0.29
Total magnetic moment in μB/atom: 0.000
Polymorph energy (0 for the lowest one) in meV per atom: 0.0

***

Density functional theory data (PBE) for a relaxed structure of Cs6ZnGe8.

a b c (Å): 13.5414 12.8725 16.3900
angles (deg): 53.50 49.84 76.66
Positions (direct):
Cs 0.0000 0.0000 0.0000
Cs 0.0838 0.8041 0.5811
Cs 0.0845 0.4353 0.2761
Cs 0.1544 0.5124 0.4876
Cs 0.1871 0.8499 0.1501
Cs 0.2483 0.6242 0.7517
Cs 0.3322 0.3322 0.6678
Cs 0.4189 0.4690 0.9162
Cs 0.4353 0.0845 0.2041
Cs 0.4690 0.4189 0.1959
Cs 0.5124 0.1544 0.8456
Cs 0.6242 0.2483 0.3758
Cs 0.6261 0.9188 0.3739
Cs 0.7239 0.7959 0.9155
Cs 0.7959 0.7239 0.5647
Cs 0.8041 0.0838 0.5310
Cs 0.8499 0.1871 0.8129
Cs 0.9188 0.6261 0.0812
Zn 0.2895 0.9561 0.7105
Zn 0.6277 0.6277 0.3723
Zn 0.9561 0.2895 0.0439
Ge 0.0361 0.3126 0.1466
Ge 0.0705 0.9418 0.7433
Ge 0.1164 0.1389 0.5267
Ge 0.1389 0.1164 0.2180
Ge 0.1806 0.2208 0.0036
Ge 0.2208 0.1806 0.5950
Ge 0.2567 0.7555 0.9295
Ge 0.3126 0.0361 0.5047
Ge 0.4050 0.9964 0.7792
Ge 0.4134 0.7156 0.4037
Ge 0.4463 0.8012 0.1988
Ge 0.4733 0.7820 0.8836
Ge 0.4953 0.8534 0.6874
Ge 0.5327 0.5963 0.2844
Ge 0.5963 0.5327 0.5866
Ge 0.6550 0.8406 0.1594
Ge 0.7156 0.4134 0.4673
Ge 0.7555 0.2567 0.0582
Ge 0.7820 0.4733 0.8611
Ge 0.8012 0.4463 0.5537
Ge 0.8406 0.6550 0.3450
Ge 0.8534 0.4953 0.9639
Ge 0.9418 0.0705 0.2445
Ge 0.9964 0.4050 0.8194

E in eV/atom: -3.108
Energy of formation from the pure elements in eV per atom: -0.22
Total magnetic moment in μB/atom: 0.000

***

Density functional theory data (PBE) for a relaxed structure of Cs2ZnGe.

a b c (Å): 4.5345 6.6766 6.7891
angles (deg): 118.94 108.63 91.05
Positions (direct):
Cs 0.0000 0.0000 0.0000
Cs 0.1897 0.6770 0.3548
Zn 0.3646 0.3630 0.7278
Ge 0.7933 0.2923 0.5830

E in eV/atom: -1.960
D(E_F) in states/eV/cell: 0.43
Energy of formation from the pure elements in eV per atom: -0.06
Total magnetic moment in μB/atom: 0.000

***

Density functional theory data (PBE) for a relaxed structure of CsZnGe3.

a b c (Å): 5.1597 5.1597 5.1597
angles (deg): 90.00 90.00 90.00
Positions (direct):
Cs 0.0000 0.0000 0.0000
Zn 0.5000 0.5000 0.5000
Ge 0.0000 0.5000 0.5000
Ge 0.5000 0.0000 0.5000
Ge 0.5000 0.5000 0.0000

E in eV/atom: -2.731
D(E_F) in states/eV/cell: 2.74
Energy of formation from the pure elements in eV per atom: 0.46
Total magnetic moment in μB/atom: 0.000
Polymorph energy (0 for the lowest one) in meV per atom: 0.0

***

Density functional theory data (PBE) for a relaxed structure of CsZn3Ge2.

a b c (Å): 12.9462 12.9462 6.5764
angles (deg): 94.50 94.50 20.01
Positions (direct):
Cs 0.1172 0.1172 0.2117
Cs 0.8828 0.8828 0.7883
Zn 0.0203 0.0203 0.6868
Zn 0.2714 0.2714 0.0588
Zn 0.2707 0.2707 0.4529
Zn 0.7293 0.7293 0.5471
Zn 0.7286 0.7286 0.9412
Zn 0.9797 0.9797 0.3132
Ge 0.2050 0.2050 0.7367
Ge 0.4737 0.4737 0.1436
Ge 0.5263 0.5263 0.8564
Ge 0.7950 0.7950 0.2633

E in eV/atom: -2.199
D(E_F) in states/eV/cell: 3.40
Energy of formation from the pure elements in eV per atom: 0.12
Total magnetic moment in μB/atom: 0.000

***

Density functional theory data (PBE) for a relaxed structure of Cs2ZnGe.

a b c (Å): 12.2622 6.1716 4.5717
angles (deg): 90.00 90.39 90.00
Positions (direct):
Cs 0.0000 0.0000 0.0000
Cs 0.1918 0.5000 0.4948
Cs 0.5000 0.5000 0.0000
Cs 0.6918 0.0000 0.4948
Zn 0.3189 0.0000 0.0056
Zn 0.8189 0.5000 0.0056
Ge 0.3812 0.0000 0.5069
Ge 0.8812 0.5000 0.5069

E in eV/atom: -1.959
D(E_F) in states/eV/cell: 2.61
Energy of formation from the pure elements in eV per atom: -0.06
Total magnetic moment in μB/atom: 0.000

***

Density functional theory data (PBE) for a relaxed structure of CsZnGe3.

a b c (Å): 5.8425 5.8425 5.8425
angles (deg): 90.00 90.00 90.00
Positions (direct):
Cs 0.0000 0.0000 0.0000
Zn 0.5000 0.5000 0.5000
Ge 0.0000 0.0000 0.5000
Ge 0.0000 0.5000 0.0000
Ge 0.5000 0.0000 0.0000

E in eV/atom: -1.310
D(E_F) in states/eV/cell: 7.02
Energy of formation from the pure elements in eV per atom: 1.89
Total magnetic moment in μB/atom: 0.000
Polymorph energy (0 for the lowest one) in meV per atom: 1420.5

***

Density functional theory data (PBE) for a relaxed structure of CsZnGe.

a b c (Å): 9.4809 9.4809 4.6034
angles (deg): 90.00 90.00 90.00
Positions (direct):
Cs 0.0504 0.6960 0.0000
Cs 0.3040 0.0504 0.5000
Cs 0.6960 0.9496 0.5000
Cs 0.9496 0.3040 0.0000
Zn 0.3638 0.4451 0.0000
Zn 0.4451 0.6362 0.5000
Zn 0.5549 0.3638 0.5000
Zn 0.6362 0.5549 0.0000
Ge 0.2519 0.4370 0.5000
Ge 0.4370 0.7481 0.0000
Ge 0.5630 0.2519 0.0000
Ge 0.7481 0.5630 0.5000

E in eV/atom: -2.237
D(E_F) in states/eV/cell: 7.41
Energy of formation from the pure elements in eV per atom: 0.01
Total magnetic moment in μB/atom: 0.000
Polymorph energy (0 for the lowest one) in meV per atom: 78.2

***

Density functional theory data (PBE) for a relaxed structure of CsZn2Ge2.

a b c (Å): 4.6961 4.6961 10.9129
angles (deg): 90.00 90.00 90.00
Positions (direct):
Cs 0.0000 0.0000 0.0000
Cs 0.5000 0.5000 0.5000
Zn 0.0000 0.5000 0.2500
Zn 0.0000 0.5000 0.7500
Zn 0.5000 0.0000 0.2500
Zn 0.5000 0.0000 0.7500
Ge 0.0000 0.0000 0.3752
Ge 0.0000 0.0000 0.6248
Ge 0.5000 0.5000 0.1248
Ge 0.5000 0.5000 0.8752

E in eV/atom: -2.501
D(E_F) in states/eV/cell: 4.68
Energy of formation from the pure elements in eV per atom: 0.03
Total magnetic moment in μB/atom: 0.000
Polymorph energy (0 for the lowest one) in meV per atom: 0.0

***

Repeat the sixth record exactly.
Density functional theory data (PBE) for a relaxed structure of Cs2ZnGe.

a b c (Å): 4.5345 6.6766 6.7891
angles (deg): 118.94 108.63 91.05
Positions (direct):
Cs 0.0000 0.0000 0.0000
Cs 0.1897 0.6770 0.3548
Zn 0.3646 0.3630 0.7278
Ge 0.7933 0.2923 0.5830

E in eV/atom: -1.960
D(E_F) in states/eV/cell: 0.43
Energy of formation from the pure elements in eV per atom: -0.06
Total magnetic moment in μB/atom: 0.000

***

Which value of total magnetic moment does entry 7 give?
0.000 μB/atom